A plane-wave DFT calculation with PBEsol was carried out for a geometry-optimized TaTl3Ge structure.

Summary:
E_tot = -4.073 eV per atom

a = 5.3729 Å, b = 5.3729 Å, c = 5.3729 Å
α = 90.00°, β = 90.00°, γ = 90.00°
With the nearest neighbours (Å) after each atom.
Space group Pm-3m (No. 221)
Unique sites:
Ta 0.0000 0.0000 0.0000 x1  6 Tl 2.69
Tl 0.0000 0.0000 0.5000 x3  2 Ta 2.69
Ge 0.5000 0.5000 0.5000 x1  12 Tl 3.80

---

A plane-wave DFT calculation with PBEsol was carried out for a geometry-optimized AlCr2Pt structure.

Summary:
E_tot = -8.130 eV per atom

a = 5.9603 Å, b = 5.9603 Å, c = 5.9603 Å
α = 90.00°, β = 90.00°, γ = 90.00°
With the nearest neighbours (Å) after each atom.
Space group F-43m (No. 216)
Unique sites:
Al 0.0000 0.0000 0.0000 x4  4 Pt 2.58, 4 Cr 2.58
Cr 0.0000 0.0000 0.5000 x4  4 Cr 2.58, 4 Pt 2.58
Cr 0.2500 0.2500 0.7500 x4  4 Cr 2.58, 4 Al 2.58
Pt 0.2500 0.2500 0.2500 x4  4 Cr 2.58, 4 Al 2.58

---

A plane-wave DFT calculation with PBEsol was carried out for a geometry-optimized IrAuSN2 structure.

Summary:
formation energy without anion corrections = 2.14 eV/atom

a = 3.6187 Å, b = 3.6187 Å, c = 7.0470 Å
α = 90.00°, β = 90.00°, γ = 90.00°
With the nearest neighbours (Å) after each atom.
Space group P4/mmm (No. 123)
Unique sites:
Ir 0.0000 0.0000 0.0000 x1  4 S 2.56
Au 0.5000 0.5000 0.5000 x1  4 N 1.81
S 0.5000 0.5000 0.0000 x1  4 Ir 2.56
N 0.0000 0.5000 0.5000 x2  2 Au 1.81

---

A plane-wave DFT calculation with PBEsol was carried out for a geometry-optimized FeAgPBr2 structure.

Summary:
formation energy without anion corrections = 0.87 eV/atom

a = 5.1866 Å, b = 5.1866 Å, c = 4.6272 Å
α = 90.00°, β = 90.00°, γ = 90.00°
With the nearest neighbours (Å) after each atom.
Space group P4/mmm (No. 123)
Unique sites:
Fe 0.0000 0.0000 0.0000 x1  8 Br 3.48, 4 Ag 3.67
Ag 0.5000 0.5000 0.0000 x1  2 P 2.31
P 0.5000 0.5000 0.5000 x1  2 Ag 2.31
Br 0.0000 0.5000 0.5000 x2  2 P 2.59

---

A plane-wave DFT calculation with PBEsol was carried out for a geometry-optimized Ru2SeBr2 structure.

Summary:
formation energy without anion corrections = 0.78 eV/atom

a = 4.0577 Å, b = 4.0577 Å, c = 11.6448 Å
α = 90.00°, β = 90.00°, γ = 90.00°
With the nearest neighbours (Å) after each atom.
Space group I4/mmm (No. 139)
Unique sites:
Ru 0.0000 0.5000 0.2500 x4  4 Br 2.44
Se 0.0000 0.0000 0.0000 x2  8 Br 3.27, 8 Ru 3.55
Br 0.0000 0.0000 0.3658 x4  4 Ru 2.44

---

A plane-wave DFT calculation with PBEsol was carried out for a geometry-optimized CsCaW3 structure.

Summary:
E_tot = -5.221 eV per atom

a = 4.9121 Å, b = 4.9121 Å, c = 4.9121 Å
α = 90.00°, β = 90.00°, γ = 90.00°
With the nearest neighbours (Å) after each atom.
Space group Pm-3m (No. 221)
Unique sites:
Cs 0.0000 0.0000 0.0000 x1  12 W 3.47
Ca 0.5000 0.5000 0.5000 x1  6 W 2.46
W 0.0000 0.5000 0.5000 x3  2 Ca 2.46

---

A plane-wave DFT calculation with PBEsol was carried out for a geometry-optimized K2TeSe structure.

Summary:
relative energy among the computed polymorphs = 85 meV/atom
formation energy without anion corrections = -0.55 eV/atom

a = 4.7535 Å, b = 4.7535 Å, c = 10.8776 Å
α = 90.00°, β = 90.00°, γ = 90.00°
With the nearest neighbours (Å) after each atom.
Space group I-4m2 (No. 119)
Unique sites:
K 0.0000 0.0000 0.0000 x2  4 Se 3.36, 4 K 3.61, 4 Te 3.61
K 0.0000 0.5000 0.2500 x2  4 Te 3.36, 4 Se 3.61, 4 K 3.61
Te 0.0000 0.5000 0.7500 x2  8 K 3.36-3.61, 4 Se 3.61
Se 0.0000 0.0000 0.5000 x2  8 K 3.36-3.61, 4 Te 3.61

---

A plane-wave DFT calculation with PBEsol was carried out for a geometry-optimized Tl2AgSn2 structure.

Summary:
relative energy among the computed polymorphs = 0 meV/atom

a = 7.2051 Å, b = 7.2051 Å, c = 5.0959 Å
α = 90.00°, β = 90.00°, γ = 90.00°
With the nearest neighbours (Å) after each atom.
Space group P4/mbm (No. 127)
Unique sites:
Tl 0.1667 0.3333 0.0000 x4  6 Sn 3.19-3.40, 1 Tl 3.40
Ag 0.0000 0.0000 0.5000 x2  4 Sn 2.76
Sn 0.1456 0.6456 0.5000 x4  2 Ag 2.76, 1 Sn 2.97

---

A plane-wave DFT calculation with PBEsol was carried out for a geometry-optimized InIr2Cl structure.

Summary:
relative energy among the computed polymorphs = 259 meV/atom
formation energy without anion corrections = 0.70 eV/atom

a = 4.9618 Å, b = 4.9618 Å, c = 5.3754 Å
α = 90.00°, β = 90.00°, γ = 90.00°
With the nearest neighbours (Å) after each atom.
Space group I-4m2 (No. 119)
Unique sites:
In 0.0000 0.0000 0.0000 x2  6 Ir 2.69-2.82, 4 Cl 2.82
Ir 0.0000 0.0000 0.5000 x2  2 In 2.69, 4 Cl 2.82, 4 Ir 2.82
Ir 0.0000 0.5000 0.7500 x2  2 Cl 2.69, 4 In 2.82, 4 Ir 2.82
Cl 0.0000 0.5000 0.2500 x2  6 Ir 2.69-2.82, 4 In 2.82

---

A plane-wave DFT calculation with PBEsol was carried out for a geometry-optimized MnFeAs4 structure.

Summary:
E_tot = -5.701 eV per atom

a = 7.5806 Å, b = 7.5806 Å, c = 7.5806 Å
α = 90.00°, β = 90.00°, γ = 90.00°
With the nearest neighbours (Å) after each atom.
Space group F-43m (No. 216)
Unique sites:
Mn 0.0000 0.0000 0.0000 x4  12 As 3.14, 4 Fe 3.28
Fe 0.2500 0.2500 0.2500 x4  12 As 3.14, 4 Mn 3.28
As 0.1247 0.1247 0.6247 x16  6 As 2.67-2.69

---

A plane-wave DFT calculation with PBEsol was carried out for a geometry-optimized MnAlCo2H structure.

Summary:
E_tot = -5.018 eV per atom

a = 4.0199 Å, b = 4.0199 Å, c = 4.5840 Å
α = 90.00°, β = 90.00°, γ = 90.00°
With the nearest neighbours (Å) after each atom.
Space group P4/mmm (No. 123)
Unique sites:
Mn 0.0000 0.0000 0.0000 x1  4 Co 2.01
Al 0.0000 0.0000 0.5000 x1  2 Mn 2.29
Co 0.0000 0.5000 0.0000 x2  2 Mn 2.01
H 0.5000 0.5000 0.5000 x1  4 Al 2.84, 8 Co 3.05

---

A plane-wave DFT calculation with PBEsol was carried out for a geometry-optimized ZnReAg4 structure.

Summary:
E_tot = -3.861 eV per atom

a = 7.4022 Å, b = 7.4022 Å, c = 7.4022 Å
α = 90.00°, β = 90.00°, γ = 90.00°
With the nearest neighbours (Å) after each atom.
Space group F-43m (No. 216)
Unique sites:
Zn 0.0000 0.0000 0.0000 x4  12 Ag 3.07, 4 Re 3.21
Re 0.2500 0.2500 0.2500 x4  12 Ag 3.07, 4 Zn 3.21
Ag 0.1249 0.1249 0.6249 x16  6 Ag 2.61-2.62

---

A plane-wave DFT calculation with PBEsol was carried out for a geometry-optimized ZrAg2W structure.

Summary:
E_tot = -7.003 eV per atom

a = 2.7850 Å, b = 2.7850 Å, c = 8.7979 Å
α = 90.00°, β = 90.00°, γ = 90.00°
With the nearest neighbours (Å) after each atom.
Space group P4/mmm (No. 123)
Unique sites:
Zr 0.0000 0.0000 0.0000 x1  4 Zr 2.78, 8 Ag 3.02
Ag 0.5000 0.5000 0.2608 x2  4 Ag 2.78, 4 W 2.88, 4 Zr 3.02
W 0.0000 0.0000 0.5000 x1  4 W 2.78, 8 Ag 2.88

---

| no. | Fermi-level density of states (states/eV per cell) |
| --- | --- |
| 1 | 3.29 |
| 2 | 11.49 |
| 3 | 5.08 |
| 4 | 8.28 |
| 5 | 8.87 |
| 6 | 9.18 |
| 7 | 7.54 |
| 8 | 4.74 |
| 9 | 9.86 |
| 10 | 20.63 |
| 11 | 6.23 |
| 12 | 11.25 |
| 13 | 4.09 |